The following is a DFT calculation (PBE) of crystalline YBeTl2 at its relaxed geometry.

Lattice parameters (Å, degrees): 3.6546 4.4401 5.9179 90.00 98.79 90.00
Positions (direct):
Y  0.0000  0.0000  0.0000
Be  0.5000  0.0000  0.5000
Tl  0.3487  0.5000  0.7241
Tl  0.6513  0.5000  0.2759

E_form = 0.15 eV/atom
energy above the most stable polymorph in this dataset = 78.5 meV per atom
size of the total moment = 0.00 μB/f.u.